# 1
Here is a relaxed Sr2TbCdHg6 crystal from Alexandria via LeMat-Bulk. Energies are from PBE.

CIF file:
```
data_Sr2TbCdHg6
_chemical_formula_sum 'Sr8 Tb4 Cd4 Hg24'
_space_group_name_H-M_alt 'F m -3 m'
_space_group_IT_number 225
_space_group_name_Hall '-F 4 2 3'
_cell_length_a 11.2505
_cell_length_b 11.2505
_cell_length_c 11.2505
_cell_angle_alpha 90.00
_cell_angle_beta 90.00
_cell_angle_gamma 90.00
loop_
_atom_site_label
_atom_site_fract_x
_atom_site_fract_y
_atom_site_fract_z
Sr1 0.2500 0.2500 0.2500
Tb1 0.0000 0.0000 0.0000
Cd1 0.0000 0.0000 0.5000
Hg1 0.0000 0.0000 0.2548
```

Computed properties:
DFT formation energy   -0.112 eV per atom
DOS(E_F)   0.903 states/eV/atom
Calculated total energy   -1.184 eV/atom
Total magnetization   0.00 μB per cell

=====

# 2
Here is a relaxed Dy3YTl4Te8 crystal from Alexandria via LeMat-Bulk. Energies are from PBE.

CIF file:
```
data_Dy3YTl4Te8
_chemical_formula_sum 'Dy9 Y3 Tl12 Te24'
_space_group_name_H-M_alt 'R -3 m'
_space_group_IT_number 166
_space_group_name_Hall '-R 3 2"'
_cell_length_a 8.9035
_cell_length_b 8.9035
_cell_length_c 24.5550
_cell_angle_alpha 90.00
_cell_angle_beta 90.00
_cell_angle_gamma 120.00
loop_
_atom_site_label
_atom_site_fract_x
_atom_site_fract_y
_atom_site_fract_z
Dy1 0.0000 0.5000 0.0000
Y1 0.0000 0.0000 0.0000
Tl1 0.0000 0.0000 0.5000
Tl2 0.0000 0.5000 0.5000
Te1 0.0000 0.0000 0.2623
Te2 0.0003 0.5002 0.2622
```

Computed properties:
Calculated total energy   -4.487 eV/atom
Formation energy without anion corrections   -1057 meV per atom
Total magnetization   0.00 μB per cell

=====

# 3
Here is a relaxed SrLi2Co crystal from Alexandria via LeMat-Bulk. Energies are from PBE.

CIF file:
```
data_SrLi2Co
_chemical_formula_sum 'Sr2 Li4 Co2'
_space_group_name_H-M_alt 'C 1 m 1'
_space_group_IT_number 8
_space_group_name_Hall 'C -2y'
_cell_length_a 7.6989
_cell_length_b 4.4341
_cell_length_c 5.9115
_cell_angle_alpha 90.00
_cell_angle_beta 115.62
_cell_angle_gamma 90.00
loop_
_atom_site_label
_atom_site_fract_x
_atom_site_fract_y
_atom_site_fract_z
Sr1 0.0000 0.0000 0.0000
Li1 0.1928 0.0000 0.5800
Li2 0.4856 0.0000 0.4588
Co1 0.2975 0.5000 0.3944
```

Computed properties:
DFT formation energy   0.340 eV per atom
DOS(E_F)   1.641 states/eV/atom
ΔE to the lowest computed polymorph   0.0000 eV/atom
Calculated total energy   -2.814 eV/atom
Total magnetization   1.66 μB per cell

=====

# 4
Here is a relaxed Mg2CdRe crystal from Alexandria via LeMat-Bulk. Energies are from PBE.

CIF file:
```
data_Mg2CdRe
_chemical_formula_sum 'Mg2 Cd1 Re1'
_space_group_name_H-M_alt 'P 1 m 1'
_space_group_IT_number 6
_space_group_name_Hall 'P -2y'
_cell_length_a 2.8155
_cell_length_b 4.8559
_cell_length_c 5.2710
_cell_angle_alpha 90.00
_cell_angle_beta 90.11
_cell_angle_gamma 90.00
loop_
_atom_site_label
_atom_site_fract_x
_atom_site_fract_y
_atom_site_fract_z
Mg1 0.0000 0.0000 0.0000
Mg2 0.0031 0.5000 0.6675
Cd1 0.5017 0.5000 0.1917
Re1 0.5009 0.0000 0.5050
```

Computed properties:
DFT formation energy   0.305 eV per atom
DOS(E_F)   0.799 states/eV/atom
Calculated total energy   -3.833 eV/atom
Total magnetization   0.00 μB per cell

=====

# 5
Here is a relaxed Ba3Mg3Ga8 crystal from Alexandria via LeMat-Bulk. Energies are from PBE.

CIF file:
```
data_Ba3Mg3Ga8
_chemical_formula_sum 'Ba6 Mg6 Ga16'
_space_group_name_H-M_alt 'I m m m'
_space_group_IT_number 71
_space_group_name_Hall '-I 2 2'
_cell_length_a 4.6986
_cell_length_b 10.2680
_cell_length_c 14.2747
_cell_angle_alpha 90.00
_cell_angle_beta 90.00
_cell_angle_gamma 90.00
loop_
_atom_site_label
_atom_site_fract_x
_atom_site_fract_y
_atom_site_fract_z
Ba1 0.0000 0.0000 0.0000
Ba2 0.0000 0.0000 0.3011
Mg1 0.0000 0.2065 0.5000
Mg2 0.0000 0.5000 0.0000
Ga1 0.0000 0.2732 0.1490
Ga2 0.0000 0.3642 0.3343
```

Computed properties:
DFT formation energy   -0.359 eV per atom
DOS(E_F)   0.293 states/eV/atom
Calculated total energy   -2.842 eV/atom
Total magnetization   0.00 μB per cell

=====

# 6
Here is a relaxed TaTiS3 crystal from Alexandria via LeMat-Bulk. Energies are from PBE.

CIF file:
```
data_TaTiS3
_chemical_formula_sum 'Ta4 Ti4 S12'
_space_group_name_H-M_alt 'C 1 2/m 1'
_space_group_IT_number 12
_space_group_name_Hall '-C 2y'
_cell_length_a 20.1912
_cell_length_b 3.3908
_cell_length_c 6.1763
_cell_angle_alpha 90.00
_cell_angle_beta 92.43
_cell_angle_gamma 90.00
loop_
_atom_site_label
_atom_site_fract_x
_atom_site_fract_y
_atom_site_fract_z
Ta1 0.0973 0.0000 0.4392
Ti1 0.0944 0.5000 0.8630
S1 0.0165 0.0000 0.7430
S2 0.1483 0.0000 0.0940
S3 0.1709 0.5000 0.5861
```

Computed properties:
DOS(E_F)   0.807 states/eV/atom
ΔE to the lowest computed polymorph   0.2522 eV/atom
Calculated total energy   -7.384 eV/atom
Formation energy without anion corrections   -958 meV per atom
Total magnetization   0.00 μB per cell

=====

# 7
Here is a relaxed NpTaCuO6 crystal from Alexandria via LeMat-Bulk. Energies are from PBE.

CIF file:
```
data_NpTaCuO6
_chemical_formula_sum 'Np2 Ta2 Cu2 O12'
_space_group_name_H-M_alt 'P -3 1 c'
_space_group_IT_number 163
_space_group_name_Hall '-P 3 2c'
_cell_length_a 5.4614
_cell_length_b 5.4614
_cell_length_c 9.0830
_cell_angle_alpha 90.00
_cell_angle_beta 90.00
_cell_angle_gamma 120.00
loop_
_atom_site_label
_atom_site_fract_x
_atom_site_fract_y
_atom_site_fract_z
Np1 0.3333 0.6667 0.2500
Ta1 0.3333 0.6667 0.7500
Cu1 0.0000 0.0000 0.0000
O1 0.0116 0.3611 0.6341
```

Computed properties:
DOS(E_F)   0.214 states/eV/atom
Calculated total energy   -8.768 eV/atom
Formation energy without anion corrections   -2252 meV per atom
Total magnetization   1.94 μB per cell

=====

# 8
Here is a relaxed SrMg2Si crystal from Alexandria via LeMat-Bulk. Energies are from PBE.

CIF file:
```
data_SrMg2Si
_chemical_formula_sum 'Sr2 Mg4 Si2'
_space_group_name_H-M_alt 'I m m 2'
_space_group_IT_number 44
_space_group_name_Hall 'I 2 -2'
_cell_length_a 5.0094
_cell_length_b 5.3537
_cell_length_c 7.4094
_cell_angle_alpha 90.00
_cell_angle_beta 90.00
_cell_angle_gamma 90.00
loop_
_atom_site_label
_atom_site_fract_x
_atom_site_fract_y
_atom_site_fract_z
Sr1 0.0000 0.0000 0.0000
Mg1 0.0000 0.0000 0.4784
Mg2 0.0000 0.5000 0.2335
Si1 0.0000 0.5000 0.7648
```

Computed properties:
DOS(E_F)   0.275 states/eV/atom
Calculated total energy   -2.583 eV/atom
Formation energy without anion corrections   -9 meV per atom
Total magnetization   0.00 μB per cell